! K2Ag2Ge PBE-GGA optimized geometry; values from VASP
&SYSTEM
  ibrav = 0, nat = 5, ntyp = 3
/
ATOMIC_SPECIES
K 39.10 K.upf
Ag 107.87 Ag.upf
Ge 72.64 Ge.upf
CELL_PARAMETERS angstrom
-3.2917 0.9002 -4.7234
0.1645 -4.4390 -0.9606
-6.1044 -2.5887 0.1663
ATOMIC_POSITIONS crystal
K 0.3003 0.8003 0.3994
K 0.6997 0.1997 0.6006
Ag 0.7515 0.5000 0.0000
Ag 0.2485 0.5000 0.0000
Ge 0.0000 0.0000 0.0000
! Calculated density in g/cm3: 4.17
! Space-group type: Immm, No. 71
! Energy relative to the elements in eV per atom: -0.0065